Record 1
Compound: Cd2SbSe
Source: the Alexandria database
Functional: PBE-GGA
Structure: relaxed

Computed properties:
E_form (uncorrected): 0.077 eV per atom
M_tot: 0.00 μB/atom

```
4
Lattice="-2.4846 -5.6101 1.3629 3.4658 -5.2421 0.1145 -0.7587 5.8115 2.2705" Properties=species:S:1:pos:R:3 pbc="T T T"
Cd 0.0152 -0.1684 0.0229
Cd 0.4754 -5.2577 0.7158
Sb -1.3763 -2.6124 2.1860
Se 1.5989 -2.4283 1.5618
```


Record 2
Compound: KGa2Sb2
Source: the Alexandria database
Functional: PBE-GGA
Structure: relaxed

Computed properties:
distance to the lowest polymorph of the same formula: 8 meV/atom
E_form (uncorrected): -0.257 eV per atom
M_tot: 0.00 μB/atom

```
10
Lattice="-3.4699 1.5508 -2.6331 -5.2340 -5.4751 3.6727 -1.8723 5.5411 5.7310" Properties=species:S:1:pos:R:3 pbc="T T T"
K -5.6876 -0.1892 1.2944
K -4.8886 1.8061 5.4763
Ga -8.2968 -0.3982 4.6098
Ga -5.6257 -3.9442 3.0609
Ga -2.2794 2.0150 2.1609
Ga -4.9505 5.5610 3.7098
Sb -2.1259 -0.3120 0.5879
Sb -5.7793 -1.6172 4.6338
Sb -4.7969 3.2341 2.1369
Sb -8.4504 1.9289 6.1828
```


Record 3
Compound: Dy2ZrCo9
Source: the Alexandria database
Functional: PBE-GGA
Structure: relaxed

Computed properties:
M_tot: 0.82 μB/atom
raw total energy: -6.981 eV/atom

```
12
Lattice="-0.8115 -3.7963 2.9677 1.3655 -4.4930 -1.3511 7.4751 -1.5959 4.0255" Properties=species:S:1:pos:R:3 pbc="T T T"
Dy 3.5942 -7.8026 3.0706
Dy 4.4349 -2.0826 2.5716
Zr 0.0000 0.0000 0.0000
Co 0.3893 -5.5230 1.0872
Co 7.6399 -4.3622 4.5549
Co 4.0146 -4.9426 2.8211
Co 2.0252 -3.8599 1.6436
Co 1.6180 -5.7647 3.1326
Co 2.7104 -6.1143 0.9657
Co 6.0039 -6.0253 3.9985
Co 5.3187 -3.7710 4.6764
Co 6.4111 -4.1206 2.5095
```


Record 4
Compound: Ca2AgW
Source: the Alexandria database
Functional: PBE-GGA
Structure: relaxed

Computed properties:
distance to the lowest polymorph of the same formula: 329 meV/atom
M_tot: 0.73 μB/atom

```
4
Lattice="5.8115 -0.0323 0.0000 2.4185 5.2844 0.0000 -4.1150 -2.6261 3.1536" Properties=species:S:1:pos:R:3 pbc="T T T"
Ca 0.0000 0.0000 0.0000
Ca 1.2093 2.6422 1.5768
Ag 2.9057 -0.0162 1.5768
W 4.1150 2.6261 0.0000
```


Record 5
Compound: LaSnS3
Source: the Alexandria database
Functional: PBE-GGA
Structure: relaxed

Computed properties:
distance to the lowest polymorph of the same formula: 0 meV/atom
E_form (uncorrected): -1.238 eV per atom
M_tot: 0.00 μB/atom

```
20
Lattice="4.1763 0.0000 0.0000 0.0000 7.9149 0.0000 0.0000 0.0000 13.8603" Properties=species:S:1:pos:R:3 pbc="T T T"
La 3.1323 7.1590 11.5364
La 1.0441 0.7559 2.3239
La 3.1323 3.2016 9.2540
La 1.0441 4.7133 4.6062
Sn 1.0441 2.7058 13.0001
Sn 1.0441 6.6633 7.7904
Sn 3.1323 1.2516 6.0699
Sn 3.1323 5.2090 0.8602
S 1.0441 2.7956 7.0751
S 3.1323 6.5141 3.0536
S 3.1323 4.1876 12.1276
S 3.1323 0.2302 8.6628
S 3.1323 5.1193 6.7852
S 1.0441 7.6847 5.1975
S 1.0441 6.7530 13.7153
S 3.1323 2.5567 3.8766
S 1.0441 5.3582 9.9837
S 1.0441 1.4007 10.8067
S 3.1323 1.1619 0.1450
S 1.0441 3.7273 1.7327
```


Record 6
Compound: Ba2NaZr
Source: the Alexandria database
Functional: PBE-GGA
Structure: relaxed

Computed properties:
distance to the lowest polymorph of the same formula: 14 meV/atom
M_tot: 0.23 μB/atom

```
4
Lattice="-2.7436 -1.2261 -2.0222 0.4026 -0.3409 -3.5836 3.6618 -13.2886 -0.1549" Properties=species:S:1:pos:R:3 pbc="T T T"
Na 0.6604 -7.4278 -2.8804
Ba 2.5905 -10.2100 -0.5682
Ba -1.2698 -4.6457 -5.1925
Zr 0.0000 0.0000 0.0000
```


> M_tot of number 2 (KGa2Sb2)?

0.00 μB/atom